Record 1
LiMg2Br | GGA-PBE | relaxed

The structure in POSCAR format:
```
LiMg2Br
1.0
-2.127 2.127 5.250
2.127 -2.127 5.250
2.127 2.127 -5.250
Li Mg Br
1 2 1
Direct
0.000 0.000 0.000
0.250 0.750 0.500
0.500 0.500 0.000
0.750 0.250 0.500
```

Energy above the lowest structure with this stoichiometry (eV/atom): 0.217
E (eV/cell): -7.7

Record 2
HRuPt2 | GGA-PBE | relaxed

The structure in POSCAR format:
```
HRuPt2
1.0
0.000 3.007 3.007
3.007 0.000 3.007
3.007 3.007 0.000
H Ru Pt
1 1 2
Direct
0.000 0.000 0.000
0.500 0.500 0.500
0.250 0.250 0.250
0.750 0.750 0.750
```

Energy above the lowest structure with this stoichiometry (eV/atom): 0.403
E (eV/cell): -21.8

Record 3
TmAlCo | GGA-PBE | relaxed

The structure in POSCAR format:
```
TmAlCo
1.0
7.061 0.000 0.000
0.000 4.440 0.000
0.000 0.000 6.708
Tm Al Co
4 4 4
Direct
0.028 0.250 0.192
0.472 0.750 0.692
0.528 0.250 0.308
0.972 0.750 0.808
0.190 0.250 0.614
0.310 0.750 0.114
0.690 0.250 0.886
0.810 0.750 0.386
0.151 0.750 0.440
0.349 0.250 0.940
0.651 0.750 0.060
0.849 0.250 0.560
```

E (eV/cell): -66.9

Record 4
ScReSi3 | GGA-PBE | relaxed

The structure in POSCAR format:
```
ScReSi3
1.0
4.643 0.000 0.000
0.000 4.643 0.000
0.000 0.000 4.643
Sc Re Si
1 1 3
Direct
0.000 0.000 0.000
0.500 0.500 0.500
0.000 0.000 0.500
0.000 0.500 0.000
0.500 0.000 0.000
```

Energy above the lowest structure with this stoichiometry (eV/atom): 1.440
E (eV/cell): -25.8

Record 5
GeAs2H2 | GGA-PBE | relaxed

The structure in POSCAR format:
```
GeAs2H2
1.0
3.297 -2.017 0.000
3.297 2.017 0.000
-1.596 0.000 5.615
Ge As H
1 2 2
Direct
0.000 0.000 0.000
0.288 0.288 0.684
0.712 0.712 0.316
0.475 0.475 0.307
0.525 0.525 0.693
```

Energy above the lowest structure with this stoichiometry (eV/atom): 0.000
E (eV/cell): -18.9

Record 6
VGa2Rh | GGA-PBE | relaxed

The structure in POSCAR format:
```
VGa2Rh
1.0
-3.431 3.431 2.667
3.431 -3.431 2.667
3.431 3.431 -2.667
V Ga Rh
2 4 2
Direct
0.000 0.000 0.000
0.750 0.250 0.500
0.136 0.125 0.511
0.375 0.864 0.989
0.614 0.625 0.489
0.875 0.386 0.011
0.250 0.750 0.500
0.500 0.500 0.000
```

E (eV/cell): -44.9

Record 7
Ni2OsW | GGA-PBE | relaxed

The structure in POSCAR format:
```
Ni2OsW
1.0
3.694 0.000 0.000
0.000 3.694 0.000
0.000 0.000 3.824
Ni Os W
2 1 1
Direct
0.000 0.500 0.000
0.500 0.000 0.000
0.000 0.000 0.500
0.500 0.500 0.500
```

Energy above the lowest structure with this stoichiometry (eV/atom): 0.038
E (eV/cell): -35.7

Record 8
Ca4InN | GGA-PBE | relaxed

The structure in POSCAR format:
```
Ca4InN
1.0
2.562 -8.994 0.000
2.562 8.994 0.000
0.000 0.000 7.062
Ca In N
8 2 2
Direct
0.000 0.000 0.000
0.000 0.000 0.500
0.182 0.818 0.511
0.182 0.818 0.989
0.414 0.586 0.250
0.586 0.414 0.750
0.818 0.182 0.011
0.818 0.182 0.489
0.381 0.619 0.750
0.619 0.381 0.250
0.094 0.906 0.750
0.906 0.094 0.250
```

Energy above the lowest structure with this stoichiometry (eV/atom): 0.000
E (eV/cell): -45.0

Record 9
NaHgPd2Pb | GGA-PBE | relaxed

The structure in POSCAR format:
```
NaHgPd2Pb
1.0
5.199 0.000 0.000
0.000 5.199 0.000
0.000 0.000 5.707
Na Hg Pd Pb
1 1 2 1
Direct
0.000 0.000 0.000
0.500 0.500 0.000
0.000 0.500 0.500
0.500 0.000 0.500
0.500 0.500 0.500
```

Energy above the lowest structure with this stoichiometry (eV/atom): 0.522
E (eV/cell): -14.2

Record 10
HoMg2SnAu4 | GGA-PBE | relaxed

The structure in POSCAR format:
```
HoMg2SnAu4
1.0
2.322 1.340 8.911
-2.322 1.340 8.911
0.000 -2.681 8.911
Ho Mg Sn Au
1 2 1 4
Direct
0.000 0.000 0.000
0.249 0.249 0.249
0.751 0.751 0.751
0.500 0.500 0.500
0.116 0.116 0.116
0.384 0.384 0.384
0.616 0.616 0.616
0.884 0.884 0.884
```

E (eV/cell): -29.4

Record 11
Rb3CdAg2F9 | GGA-PBE | relaxed

The structure in POSCAR format:
```
Rb3CdAg2F9
1.0
6.305 0.000 0.000
-3.153 5.461 0.000
0.000 0.000 7.724
Rb Cd Ag F
3 1 2 9
Direct
0.000 0.000 0.000
0.333 0.667 0.667
0.667 0.333 0.333
0.000 0.000 0.500
0.333 0.667 0.163
0.667 0.333 0.837
0.000 0.500 0.000
0.166 0.332 0.332
0.166 0.834 0.332
0.332 0.166 0.668
0.500 0.000 0.000
0.500 0.500 0.000
0.668 0.834 0.332
0.834 0.166 0.668
0.834 0.668 0.668
```

E (eV/cell): -57.1

Record 12
MgZn3 | GGA-PBE | relaxed

The structure in POSCAR format:
```
MgZn3
1.0
4.591 -1.490 0.000
4.591 1.490 0.000
-1.205 0.000 4.876
Mg Zn
1 3
Direct
0.000 0.000 0.000
0.243 0.243 0.733
0.500 0.500 0.500
0.757 0.757 0.267
```

E (eV/cell): -5.5

- Look up the E of the ninth one.
  -14.2 eV/cell

What did the eighth record say?
Ca4InN | GGA-PBE | relaxed

The structure in POSCAR format:
```
Ca4InN
1.0
2.562 -8.994 0.000
2.562 8.994 0.000
0.000 0.000 7.062
Ca In N
8 2 2
Direct
0.000 0.000 0.000
0.000 0.000 0.500
0.182 0.818 0.511
0.182 0.818 0.989
0.414 0.586 0.250
0.586 0.414 0.750
0.818 0.182 0.011
0.818 0.182 0.489
0.381 0.619 0.750
0.619 0.381 0.250
0.094 0.906 0.750
0.906 0.094 0.250
```

Energy above the lowest structure with this stoichiometry (eV/atom): 0.000
E (eV/cell): -45.0

- What is the E in the seventh record?
  -35.7 eV/cell